Record 1
LuCdSn2: optimized geometry, GGA-PBE.

Unit cell a=5.256 b=5.256 c=5.260 alpha=60.02 beta=60.02 gamma=60.00
Positions (direct):
Sn  0.750  0.750  0.750
Sn  0.250  0.250  0.250
Cd  0.500  0.500  0.500
Lu  0.000  0.000  0.000

distance to the lowest polymorph of the same formula	217	meV/atom
space group	No. 225



Record 2
K3TaTi3Se8: optimized geometry, GGA-PBE.

Unit cell a=7.402 b=7.404 c=8.991 alpha=114.35 beta=90.00 gamma=119.99
Positions (direct):
Ti  0.500  0.000  0.500
Ti  0.000  0.500  0.500
Ti  0.500  0.500  0.500
Se  0.731  0.461  0.691
Se  0.273  0.040  0.307
Se  0.727  0.960  0.693
Se  0.767  0.040  0.307
Se  0.233  0.466  0.693
Se  0.269  0.539  0.309
Se  0.767  0.534  0.307
Se  0.233  0.960  0.693
K  0.000  0.000  0.000
K  0.500  0.500  0.000
K  0.000  0.500  0.000
Ta  0.000  0.000  0.500

space group	No. 166
energy relative to the elements, uncorrected	-1.12	eV/atom



Record 3
La2Ho4Er: optimized geometry, GGA-PBE.

Unit cell a=5.529 b=5.529 c=9.531 alpha=106.86 beta=106.86 gamma=90.00
Positions (direct):
La  0.626  0.626  0.253
La  0.374  0.374  0.747
Er  0.000  0.000  0.000
Ho  0.500  0.000  0.000
Ho  0.174  0.174  0.349
Ho  0.826  0.826  0.651
Ho  0.000  0.500  0.000

distance to the lowest polymorph of the same formula	407	meV/atom
space group	No. 139



Respective DOS at the Fermi energy values: 2.47 7.57 9.60 states/eV/cell.
Respective calculated volume values: 25.70 25.02 37.96 Å³ per atom.